(1)
Here is a relaxed structure of Cu3SI2 from the Alexandria database. Energies are from GGA-PBE.

Unit cell a=7.500 b=7.961 c=7.961 alpha=127.21 beta=103.81 gamma=103.81
Element x y z (fractional)
1 Cu 0.892 0.242 0.421
2 Cu 0.392 0.421 0.242
3 Cu 0.000 0.500 0.000
4 Cu 0.108 0.758 0.579
5 Cu 0.500 0.000 0.500
6 Cu 0.608 0.579 0.758
7 S 0.250 0.660 0.340
8 S 0.750 0.340 0.660
9 I 0.250 0.983 0.017
10 I 0.250 0.327 0.673
11 I 0.750 0.017 0.983
12 I 0.750 0.673 0.327

## Properties
density of states at the Fermi level = 3.36 states/eV/f.u.
excess energy over the best structure of this formula in the dataset = 94 meV/atom

=====

(2)
Here is a relaxed structure of Cu2SI2 from the Alexandria database. Energies are from GGA-PBE.

Unit cell a=4.082 b=6.124 c=6.793 alpha=84.79 beta=86.30 gamma=72.37
Element x y z (fractional)
1 Cu 0.495 0.609 0.534
2 Cu 0.914 0.563 0.150
3 S 0.954 0.716 0.427
4 I 0.406 0.642 0.919
5 I 0.884 0.201 0.396

## Properties
electronic total energy = -15.74 eV per cell
density of states at the Fermi level = 4.15 states/eV/f.u.

=====

(3)
Here is a relaxed structure of Cu4S2I5 from the Alexandria database. Energies are from GGA-PBE.

Unit cell a=4.107 b=8.802 c=9.967 alpha=116.20 beta=101.89 gamma=90.00
Element x y z (fractional)
1 Cu 0.000 0.199 0.000
2 Cu 0.693 0.693 0.387
3 Cu 0.000 0.801 0.000
4 Cu 0.307 0.307 0.613
5 S 0.182 0.182 0.364
6 S 0.818 0.818 0.636
7 I 0.861 0.161 0.722
8 I 0.861 0.561 0.722
9 I 0.139 0.439 0.278
10 I 0.139 0.839 0.278
11 I 0.500 0.000 0.000

## Properties
electronic total energy = -30.69 eV per cell
density of states at the Fermi level = 8.37 states/eV/f.u.

=====

(4)
Here is a relaxed structure of CuS2I from the Alexandria database. Energies are from GGA-PBE.

Unit cell a=6.455 b=6.455 c=6.396 alpha=59.69 beta=59.69 gamma=90.00
Element x y z (fractional)
1 I 0.000 0.000 0.000
2 I 0.750 0.250 0.500
3 S 0.545 0.125 0.250
4 S 0.205 0.625 0.250
5 S 0.375 0.455 0.750
6 S 0.875 0.795 0.750
7 Cu 0.500 0.500 0.000
8 Cu 0.250 0.750 0.500

## Properties
density of states at the Fermi level = 1.69 states/eV/f.u.
excess energy over the best structure of this formula in the dataset = 376 meV/atom

=====

(5)
Here is a relaxed structure of CuS2I from the Alexandria database. Energies are from GGA-PBE.

Unit cell a=7.835 b=7.835 c=7.835 alpha=27.38 beta=27.38 gamma=27.38
Element x y z (fractional)
1 I 0.000 0.000 0.000
2 S 0.885 0.885 0.885
3 S 0.115 0.115 0.115
4 Cu 0.500 0.500 0.500

## Properties
density of states at the Fermi level = 5.55 states/eV/f.u.
excess energy over the best structure of this formula in the dataset = 149 meV/atom

=====

(6)
Here is a relaxed structure of CuS3I from the Alexandria database. Energies are from GGA-PBE.

Unit cell a=4.378 b=5.291 c=6.805 alpha=88.48 beta=75.14 gamma=71.94
Element x y z (fractional)
1 Cu 0.181 0.500 0.238
2 S 0.077 0.813 0.489
3 S 0.368 0.075 0.369
4 S 0.597 0.078 0.595
5 I 0.795 0.444 0.024

## Properties
excess energy over the best structure of this formula in the dataset = 0 meV/atom